[1]
First-principles (GGA-PBE) data for a geometry-optimized NaCu2Te structure, as listed in the Alexandria database.

The value obtained for the uncorrected formation energy is 0.046 eV/atom. For the total DFT energy (no corrections), the calculation gives -49.9 eV/cell. The density comes out at 4.36 Mg/m³.

It has space group I-42d (No. 122), with a = 4.8021 Å, b = 4.8021 Å, c = 18.3282 Å, α = 90.00°, β = 90.00° and γ = 90.00°. Symmetry generates all atoms from Na at (0.0000, 0.0000, 0.0000), Cu at (0.0158, 0.2500, 0.6250) and Te at (0.0000, 0.0000, 0.5000).

***

[2]
First-principles (GGA-PBE) data for a geometry-optimized TaAgBr2 structure, as listed in the Alexandria database.

The value obtained for the uncorrected formation energy is 0.354 eV/atom. For the total DFT energy (no corrections), the calculation gives -49.9 eV/cell. The density comes out at 8.01 Mg/m³.

It has space group R-3m (No. 166, hexagonal axes), with a = 3.4047 Å, b = 3.4047 Å, c = 27.7807 Å, α = 90.00°, β = 90.00° and γ = 120.00°. Symmetry generates all atoms from Ta at (0.0000, 0.0000, 0.0000), Ag at (0.0000, 0.0000, 0.5000) and Br at (0.0000, 0.0000, 0.0908).

***

[3]
First-principles (GGA-PBE) data for a geometry-optimized Ho2TmCd8 structure, as listed in the Alexandria database.

For the total DFT energy (no corrections), the calculation gives -46.4 eV/cell. Its calculated formation energy is -205.6 meV per atom. The density comes out at 8.77 Mg/m³.

It has space group C2/m (No. 12), with a = 8.1065 Å, b = 15.7813 Å, c = 5.3290 Å, α = 90.00°, β = 129.05° and γ = 90.00°. Symmetry generates all atoms from Ho at (0.0000, 0.1881, 0.0000), Tm at (0.0000, 0.5000, 0.5000), Cd at (0.0000, 0.3003, 0.5000), Cd at (0.0213, 0.0000, 0.7735) and Cd at (0.2310, 0.3703, 0.2472).

***

[4]
First-principles (GGA-PBE) data for a geometry-optimized K4Pm3ScS8 structure, as listed in the Alexandria database.

The value obtained for the uncorrected formation energy is -1.819 eV/atom. For the total DFT energy (no corrections), the calculation gives -261.3 eV/cell. The density comes out at 3.47 Mg/m³.

It has space group R-3m (No. 166, hexagonal axes), with a = 8.1768 Å, b = 8.1768 Å, c = 22.1292 Å, α = 90.00°, β = 90.00° and γ = 120.00°. Symmetry generates all atoms from K at (0.0000, 0.0000, 0.0000), K at (0.0000, 0.5000, 0.0000), Pm at (0.0000, 0.5000, 0.5000), Sc at (0.0000, 0.0000, 0.5000), S at (0.0000, 0.0000, 0.2363) and S at (0.0165, 0.5083, 0.2334).

***

[5]
First-principles (GGA-PBE) data for a geometry-optimized Sr2GeRh structure, as listed in the Alexandria database.

For the total DFT energy (no corrections), the calculation gives -67.4 eV/cell. Its calculated formation energy is -377.3 meV per atom. The density comes out at 3.96 Mg/m³.

It has space group I-42d (No. 122), with a = 11.1482 Å, b = 11.1482 Å, c = 4.7364 Å, α = 90.00°, β = 90.00° and γ = 90.00°. Symmetry generates all atoms from Sr at (0.0708, 0.2500, 0.1250), Ge at (0.0000, 0.0000, 0.5000) and Rh at (0.0000, 0.0000, 0.0000).

***

[6]
First-principles (GGA-PBE) data for a geometry-optimized TbSc4Au5 structure, as listed in the Alexandria database.

For the total DFT energy (no corrections), the calculation gives -54.4 eV/cell. Its calculated formation energy is -809.6 meV per atom. The density comes out at 10.74 Mg/m³.

It has space group P4/mmm (No. 123), with a = 3.4306 Å, b = 3.4306 Å, c = 17.3906 Å, α = 90.00°, β = 90.00° and γ = 90.00°. Symmetry generates all atoms from Tb at (0.0000, 0.0000, 0.0000), Sc at (0.0000, 0.0000, 0.2071), Sc at (0.0000, 0.0000, 0.4025), Au at (0.5000, 0.5000, 0.1146), Au at (0.5000, 0.5000, 0.3047) and Au at (0.5000, 0.5000, 0.5000).

***

[7]
First-principles (GGA-PBE) data for a geometry-optimized NdHoAg2Se4 structure, as listed in the Alexandria database.

The value obtained for the uncorrected formation energy is -1.154 eV/atom. For the total DFT energy (no corrections), the calculation gives -38.2 eV/cell. The density comes out at 6.98 Mg/m³.

It has space group P2/m (No. 10), with a = 6.8743 Å, b = 4.2399 Å, c = 7.3423 Å, α = 90.00°, β = 110.75° and γ = 90.00°. Symmetry generates all atoms from Nd at (0.0000, 0.0000, 0.0000), Ho at (0.0000, 0.5000, 0.5000), Ag at (0.5000, 0.0000, 0.5000), Ag at (0.5000, 0.5000, 0.0000), Se at (0.2481, 0.0000, 0.7413) and Se at (0.2508, 0.5000, 0.2579).

***

[8]
First-principles (GGA-PBE) data for a geometry-optimized Tb2ZnNi12B3 structure, as listed in the Alexandria database.

For the total DFT energy (no corrections), the calculation gives -303.3 eV/cell. Its calculated formation energy is -64.9 meV per atom. The density comes out at 7.95 Mg/m³.

It has space group R-3m (No. 166, hexagonal axes), with a = 7.0609 Å, b = 7.0609 Å, c = 16.2553 Å, α = 90.00°, β = 90.00° and γ = 120.00°. Symmetry generates all atoms from Tb at (0.0000, 0.0000, 0.0950), Zn at (0.0000, 0.0000, 0.5000), Ni at (0.0475, 0.5238, 0.8822), Ni at (0.0695, 0.5348, 0.3078) and B at (0.0000, 0.5000, 0.0000).

***

What is the formula in the third record? Ho2TmCd8

***

Which of these has the highest total DFT energy (no corrections)? NdHoAg2Se4

***

The highest total DFT energy (no corrections) belongs to which entry? NdHoAg2Se4